[1]
Here is a relaxed RbBeFeTc crystal from OQMD via LeMat-Bulk. Energies are from PBE.

POSCAR file:
```
RbBeFeTc
1.0
6.421 0.000 0.000
0.000 6.421 0.000
0.000 0.000 6.421
Rb Be Fe Tc
4 4 4 4
Direct
0.000 0.000 0.000 Rb
0.000 0.500 0.500 Rb
0.500 0.000 0.500 Rb
0.500 0.500 0.000 Rb
0.000 0.000 0.500 Be
0.000 0.500 0.000 Be
0.500 0.000 0.000 Be
0.500 0.500 0.500 Be
0.250 0.250 0.750 Fe
0.250 0.750 0.250 Fe
0.750 0.250 0.250 Fe
0.750 0.750 0.750 Fe
0.250 0.250 0.250 Tc
0.250 0.750 0.750 Tc
0.750 0.250 0.750 Tc
0.750 0.750 0.250 Tc
```

Results
- distance to the lowest polymorph of the same formula (meV/atom) = 122
- space-group type = F-43m (216)
- raw total energy (eV per atom) = -4.075

[2]
Here is a relaxed YCuAsIr crystal from OQMD via LeMat-Bulk. Energies are from PBE.

POSCAR file:
```
YCuAsIr
1.0
6.467 0.000 0.000
0.000 6.467 0.000
0.000 0.000 6.467
Y Cu As Ir
4 4 4 4
Direct
0.000 0.000 0.000 Y
0.000 0.500 0.500 Y
0.500 0.000 0.500 Y
0.500 0.500 0.000 Y
0.250 0.250 0.750 Cu
0.250 0.750 0.250 Cu
0.750 0.250 0.250 Cu
0.750 0.750 0.750 Cu
0.250 0.250 0.250 As
0.250 0.750 0.750 As
0.750 0.250 0.750 As
0.750 0.750 0.250 As
0.000 0.000 0.500 Ir
0.000 0.500 0.000 Ir
0.500 0.000 0.000 Ir
0.500 0.500 0.500 Ir
```

Results
- distance to the lowest polymorph of the same formula (meV/atom) = 0
- space-group type = F-43m (216)
- raw total energy (eV per atom) = -6.317